Li3TcO4: optimized geometry, PBE-GGA.

abc: 5.0697 5.0697 5.0049
angles: 101.68 101.68 33.88
Last column: nearest neighbours and their distance in Å.
Fractional coordinates of all 8 atoms:
O1 0.8805 0.8805 0.6182  4 Li 2.01-2.14, 2 Tc 2.04
O2 0.3817 0.3817 0.1471  1 Tc 1.89, 5 Li 2.03-2.10
O3 0.6183 0.6183 0.8529  1 Tc 1.89, 5 Li 2.03-2.10
O4 0.1195 0.1195 0.3818  4 Li 2.01-2.14, 2 Tc 2.04
Li1 0.2559 0.2559 0.7662  6 O 2.03-2.14
Li2 0.7441 0.7441 0.2338  6 O 2.03-2.14
Li3 0.0000 0.0000 0.0000  6 O 2.01-2.10
Tc1 0.5000 0.5000 0.5000  6 O 1.89-2.04

Output
- Relative energy among the computed polymorphs: 32 meV/atom

NpC: optimized geometry, PBE-GGA.

abc: 3.5039 3.5039 3.5039
angles: 120.00 90.00 120.00
Last column: nearest neighbours and their distance in Å.
Fractional coordinates of all 2 atoms:
C1 0.5000 0.0000 0.5000  6 Np 2.48
Np1 0.0000 0.0000 0.0000  6 C 2.48

Output
- Relative energy among the computed polymorphs: 0 meV/atom

La2ZnIr2: optimized geometry, PBE-GGA.

abc: 5.7976 5.7976 8.2166
angles: 104.96 104.96 58.24
Last column: nearest neighbours and their distance in Å.
Fractional coordinates of all 10 atoms:
Zn1 0.1261 0.8739 0.7500  4 Ir 2.64-2.73
Zn2 0.8739 0.1261 0.2500  4 Ir 2.64-2.73
Ir1 0.2850 0.9859 0.5209  2 Zn 2.64-2.73, 1 Ir 2.69
Ir2 0.7150 0.0141 0.4791  2 Zn 2.64-2.73, 1 Ir 2.69
Ir3 0.0141 0.7150 0.9791  2 Zn 2.64-2.73, 1 Ir 2.69
Ir4 0.9859 0.2850 0.0209  2 Zn 2.64-2.73, 1 Ir 2.69
La1 0.2030 0.5051 0.3522  5 Ir 2.96-3.30, 1 Zn 3.29
La2 0.5051 0.2030 0.8522  5 Ir 2.96-3.30, 1 Zn 3.29
La3 0.7970 0.4949 0.6478  5 Ir 2.96-3.30, 1 Zn 3.29
La4 0.4949 0.7970 0.1478  5 Ir 2.96-3.30, 1 Zn 3.29

Output
- DFT formation energy: -684.6 meV per atom

Li2MgAu: optimized geometry, PBE-GGA.

abc: 4.5286 4.5286 4.5286
angles: 60.00 60.00 60.00
Last column: nearest neighbours and their distance in Å.
Fractional coordinates of all 4 atoms:
Mg1 0.7500 0.7500 0.7500  4 Au 2.77, 4 Li 2.77
Au1 0.5000 0.5000 0.5000  4 Mg 2.77, 4 Li 2.77
Li1 0.0000 0.0000 0.0000  4 Mg 2.77, 4 Li 2.77
Li2 0.2500 0.2500 0.2500  4 Au 2.77, 4 Li 2.77

Output
- Raw total energy: -10.39 eV per cell

Sm3NbSe3O4: optimized geometry, PBE-GGA.

abc: 6.8940 7.7682 14.8459
angles: 90.00 90.00 90.00
Last column: nearest neighbours and their distance in Å.
Fractional coordinates of all 44 atoms:
O1 0.3681 0.2500 0.4319  1 Nb 2.13, 3 Sm 2.31-2.35
O2 0.3564 0.7500 0.4370  1 Nb 1.96
O3 0.1150 0.4734 0.1152  1 Nb 1.92
O4 0.6150 0.0266 0.3848  1 Nb 1.92
O5 0.8681 0.2500 0.0681  1 Nb 2.13, 3 Sm 2.31-2.35
O6 0.6150 0.4734 0.3848  1 Nb 1.92
O7 0.6436 0.2500 0.5630  1 Nb 1.96
O8 0.8850 0.5266 0.8848  1 Nb 1.92
O9 0.1319 0.7500 0.9319  1 Nb 2.13, 3 Sm 2.31-2.35
O10 0.6319 0.7500 0.5681  1 Nb 2.13, 3 Sm 2.31-2.35
O11 0.8850 0.9734 0.8848  1 Nb 1.92
O12 0.3850 0.9734 0.6152  1 Nb 1.92
O13 0.1150 0.0266 0.1152  1 Nb 1.92
O14 0.1436 0.2500 0.9370  1 Nb 1.96
O15 0.3850 0.5266 0.6152  1 Nb 1.92
O16 0.8564 0.7500 0.0630  1 Nb 1.96
Sm1 0.7854 0.4930 0.1542  3 O 2.35-2.46
Sm2 0.2831 0.2500 0.5827  4 O 2.31-2.50
Sm3 0.2854 0.4930 0.3458  3 O 2.35-2.46
Sm4 0.7831 0.2500 0.9173  4 O 2.31-2.50
Sm5 0.2146 0.9930 0.8458  3 O 2.35-2.46
Sm6 0.2169 0.7500 0.0827  4 O 2.31-2.50
Sm7 0.7854 0.0070 0.1542  3 O 2.35-2.46
Sm8 0.7146 0.9930 0.6542  3 O 2.35-2.46
Sm9 0.7146 0.5070 0.6542  3 O 2.35-2.46
Sm10 0.2854 0.0070 0.3458  3 O 2.35-2.46
Sm11 0.7169 0.7500 0.4173  4 O 2.31-2.50
Sm12 0.2146 0.5070 0.8458  3 O 2.35-2.46
Se1 0.5025 0.7500 0.2286  6 Sm 2.93-3.17, 3 O 3.25-3.26
Se2 0.5000 0.5000 0.0000  4 Sm 3.01-3.02, 2 Nb 3.12, 6 O 3.16-3.35
Se3 0.0025 0.7500 0.2714  6 Sm 2.93-3.17, 3 O 3.25-3.26
Se4 0.9975 0.2500 0.7286  6 Sm 2.93-3.17, 3 O 3.25-3.26
Se5 0.5495 0.7500 0.7973  1 Nb 2.75, 4 Sm 3.06-3.07
Se6 0.5000 0.0000 0.0000  4 Sm 3.01-3.02, 2 Nb 3.12, 6 O 3.16-3.35
Se7 0.4975 0.2500 0.7714  6 Sm 2.93-3.17, 3 O 3.25-3.26
Se8 0.0000 0.0000 0.5000  4 Sm 3.01-3.02, 2 Nb 3.12, 6 O 3.16-3.35
Se9 0.9505 0.2500 0.2973  1 Nb 2.75, 4 Sm 3.06-3.07
Se10 0.4505 0.2500 0.2027  1 Nb 2.75, 4 Sm 3.06-3.07
Se11 0.0495 0.7500 0.7027  1 Nb 2.75, 4 Sm 3.06-3.07
Se12 0.0000 0.5000 0.5000  4 Sm 3.01-3.02, 2 Nb 3.12, 6 O 3.16-3.35
Nb1 0.8229 0.7500 0.9323  4 O 1.92-2.13
Nb2 0.3229 0.7500 0.5677  4 O 1.92-2.13
Nb3 0.1771 0.2500 0.0677  4 O 1.92-2.13
Nb4 0.6771 0.2500 0.4323  4 O 1.92-2.13

Output
- Raw total energy: -329.92 eV per cell

CoRe: optimized geometry, PBE-GGA.

abc: 4.6861 4.6861 15.7759
angles: 90.00 90.00 120.00
Last column: nearest neighbours and their distance in Å.
Fractional coordinates of all 24 atoms:
Co1 0.5000 0.5000 0.0000  4 Co 2.34, 2 Re 2.44
Co2 0.5000 0.0000 0.0000  4 Co 2.34, 2 Re 2.44
Co3 0.6790 0.8395 0.2500  4 Co 2.26-2.43, 2 Re 2.37
Co4 0.5000 0.0000 0.5000  4 Co 2.34, 2 Re 2.44
Co5 0.3210 0.1605 0.7500  4 Co 2.26-2.43, 2 Re 2.37
Co6 0.0000 0.5000 0.0000  4 Co 2.34, 2 Re 2.44
Co7 0.0000 0.5000 0.5000  4 Co 2.34, 2 Re 2.44
Co8 0.5000 0.5000 0.5000  4 Co 2.34, 2 Re 2.44
Co9 0.8395 0.1605 0.7500  4 Co 2.26-2.43, 2 Re 2.37
Co10 0.1605 0.8395 0.2500  4 Co 2.26-2.43, 2 Re 2.37
Co11 0.1605 0.3210 0.2500  4 Co 2.26-2.43, 2 Re 2.37
Co12 0.8395 0.6790 0.7500  4 Co 2.26-2.43, 2 Re 2.37
Re1 0.6667 0.3333 0.1560  7 Re 2.74-2.97, 9 Co 2.77-2.81
Re2 0.3333 0.6667 0.8440  7 Re 2.74-2.97, 9 Co 2.77-2.81
Re3 0.0000 0.0000 0.9155  7 Re 2.67-2.93, 9 Co 2.70-2.92
Re4 0.3333 0.6667 0.3712  6 Co 2.37-2.44
Re5 0.6667 0.3333 0.3440  7 Re 2.74-2.97, 9 Co 2.77-2.81
Re6 0.0000 0.0000 0.5845  7 Re 2.67-2.93, 9 Co 2.70-2.92
Re7 0.0000 0.0000 0.0845  7 Re 2.67-2.93, 9 Co 2.70-2.92
Re8 0.6667 0.3333 0.6288  6 Co 2.37-2.44
Re9 0.3333 0.6667 0.6560  7 Re 2.74-2.97, 9 Co 2.77-2.81
Re10 0.0000 0.0000 0.4155  7 Re 2.67-2.93, 9 Co 2.70-2.92
Re11 0.6667 0.3333 0.8712  6 Co 2.37-2.44
Re12 0.3333 0.6667 0.1288  6 Co 2.37-2.44

Output
- DFT formation energy: 70.5 meV per atom

Ho2ErLu3Bi2Os: optimized geometry, PBE-GGA.

abc: 4.2227 8.1599 8.1599
angles: 120.02 90.00 90.00
Last column: nearest neighbours and their distance in Å.
Fractional coordinates of all 9 atoms:
Bi1 0.5000 0.6667 0.3339  3 Lu 3.22-3.23, 2 Er 3.30, 4 Ho 3.30
Bi2 0.5000 0.3339 0.6667  3 Lu 3.22-3.23, 2 Er 3.30, 4 Ho 3.30
Er1 0.0000 0.6158 0.6158  1 Os 3.12, 4 Bi 3.30, 4 Lu 3.45
Lu1 0.5000 0.7692 0.0000  2 Os 2.83
Lu2 0.5000 0.2301 0.2301  2 Os 2.83
Lu3 0.5000 0.0000 0.7692  2 Os 2.83
Ho1 0.0000 0.3855 0.0003  1 Os 3.15, 4 Bi 3.30, 4 Lu 3.46
Ho2 0.0000 0.0003 0.3855  1 Os 3.15, 4 Bi 3.30, 4 Lu 3.46
Os1 0.0000 0.9985 0.9985  6 Lu 2.83, 1 Er 3.12, 2 Ho 3.15

Output
- Raw total energy: -51.84 eV per cell

BaZn2Pt2: optimized geometry, PBE-GGA.

abc: 6.3642 6.3642 6.3642
angles: 139.49 139.49 58.63
Last column: nearest neighbours and their distance in Å.
Fractional coordinates of all 5 atoms:
Zn1 0.7500 0.2500 0.5000  4 Pt 2.62
Zn2 0.2500 0.7500 0.5000  4 Pt 2.62
Ba1 0.0000 0.0000 0.0000  8 Pt 3.40, 8 Zn 3.54
Pt1 0.3770 0.3770 0.0000  4 Zn 2.62, 1 Pt 2.73
Pt2 0.6230 0.6230 0.0000  4 Zn 2.62, 1 Pt 2.73

Output
- Raw total energy: -19.73 eV per cell

Co2Mo: optimized geometry, PBE-GGA.

abc: 7.0891 7.0891 7.0891
angles: 60.00 60.00 60.00
Last column: nearest neighbours and their distance in Å.
Fractional coordinates of all 6 atoms:
Mo1 0.5000 0.5000 0.5000  4 Co 2.17
Mo2 0.2500 0.2500 0.2500  4 Co 2.17
Co1 0.8750 0.3750 0.3750  2 Mo 2.17
Co2 0.3750 0.3750 0.3750  2 Mo 2.17
Co3 0.3750 0.3750 0.8750  2 Mo 2.17
Co4 0.3750 0.8750 0.3750  2 Mo 2.17

Output
- DFT formation energy: 3122.6 meV per atom

SiPbAu: optimized geometry, PBE-GGA.

abc: 4.6442 4.6442 4.6442
angles: 60.00 60.00 60.00
Last column: nearest neighbours and their distance in Å.
Fractional coordinates of all 3 atoms:
Si1 0.0000 0.0000 0.0000  4 Pb 2.84, 4 Au 2.84
Pb1 0.7500 0.7500 0.7500  4 Si 2.84
Au1 0.2500 0.2500 0.2500  4 Si 2.84

Output
- Relative energy among the computed polymorphs: 0 meV/atom

GdHo2Mg3Ir3: optimized geometry, PBE-GGA.

abc: 4.0503 7.2592 7.2592
angles: 120.07 90.00 90.00
Last column: nearest neighbours and their distance in Å.
Fractional coordinates of all 9 atoms:
Mg1 0.5000 0.7555 0.0009  4 Ir 2.70-2.80
Mg2 0.5000 0.0009 0.7555  4 Ir 2.70-2.80
Mg3 0.5000 0.2444 0.2444  4 Ir 2.68-2.81
Gd1 0.0000 0.5898 0.5898  5 Ir 2.99-3.00, 6 Mg 3.22-3.29
Ir1 0.5000 0.3313 0.6677  3 Mg 2.77-2.81, 4 Ho 2.98, 2 Gd 3.00
Ir2 0.5000 0.6677 0.3313  3 Mg 2.77-2.81, 4 Ho 2.98, 2 Gd 3.00
Ir3 0.0000 0.0020 0.0020  6 Mg 2.68-2.70, 2 Ho 2.96, 1 Gd 2.99
Ho1 0.0000 0.0000 0.4085  5 Ir 2.96-2.98, 6 Mg 3.23-3.28
Ho2 0.0000 0.4085 0.0000  5 Ir 2.96-2.98, 6 Mg 3.23-3.28

Output
- Raw total energy: -51.18 eV per cell

KSbPd: optimized geometry, PBE-GGA.

abc: 5.0714 5.0714 5.0714
angles: 60.00 60.00 60.00
Last column: nearest neighbours and their distance in Å.
Fractional coordinates of all 3 atoms:
Pd1 0.2500 0.2500 0.2500  4 K 3.11
Sb1 0.7500 0.7500 0.7500  4 K 3.11
K1 0.0000 0.0000 0.0000  4 Sb 3.11, 4 Pd 3.11

Output
- Raw total energy: -8.26 eV per cell

Number 1: mass density 4.3 g cm⁻³. Number 2: mass density 13.6 g cm⁻³. Number 3: mass density 10.8 g cm⁻³. Number 4: mass density 5.9 g cm⁻³. Number 5: mass density 7.1 g cm⁻³. Number 6: mass density 16.3 g cm⁻³. Number 7: mass density 11.1 g cm⁻³. Number 8: mass density 10.1 g cm⁻³. Number 9: mass density 2.8 g cm⁻³. Number 10: mass density 10.1 g cm⁻³. Number 11: mass density 10.2 g cm⁻³. Number 12: mass density 4.8 g cm⁻³.